A plane-wave DFT calculation with PBE-GGA was carried out for crystalline Nd2Y3Er6Sc at its relaxed geometry.

The space group is C2/m (No. 12) and the conventional cell measures 6.1136, 10.5831 and 11.7182 Å, with angles of 90.00, 99.98 and 90.00 degrees. Symmetry generates all atoms from Nd at (0.0000, 0.1666, 0.0000), Y at (0.0000, 0.0000, 0.5000), Y at (0.0000, 0.3338, 0.5000), Er at (0.2472, 0.5000, 0.7504), Er at (0.2482, 0.3348, 0.2493) and Sc at (0.0000, 0.5000, 0.0000).

For the calculated volume, the calculation gives 31.1 Å³/atom. The value obtained for the density of states at the Fermi level is 16.625 states/eV/f.u. The calculation puts the total energy at -124.54 eV per cell. The value obtained for the formation energy from the elements is 0.030 eV/atom.